# NbReW

An optimized crystal structure of NbReW (PBE-GGA, OQMD).

Output
Calculated formation energy: 0.579 eV/atom

Lattice parameters (Å, degrees): 4.347 4.347 4.347 60.00 60.00 60.00
Sites, in units of the cell vectors:
Nb 0.250 0.250 0.250
Re 0.000 0.000 0.000
W 0.750 0.750 0.750

=====

# Nb6ReW

An optimized crystal structure of Nb6ReW (PBE-GGA, OQMD).

Output
Calculated formation energy: -0.103 eV/atom

Lattice parameters (Å, degrees): 4.609 4.609 6.521 90.00 90.00 90.00
Sites, in units of the cell vectors:
Nb 0.500 0.500 0.000
Nb 0.500 0.000 0.248
Nb 0.000 0.500 0.248
Nb 0.000 0.000 0.500
Nb 0.500 0.000 0.752
Nb 0.000 0.500 0.752
Re 0.000 0.000 0.000
W 0.500 0.500 0.500

=====

# YNbRe2

An optimized crystal structure of YNbRe2 (PBE-GGA, OQMD).

Output
Calculated formation energy: 0.234 eV/atom

Lattice parameters (Å, degrees): 4.635 4.635 4.635 60.00 60.00 60.00
Sites, in units of the cell vectors:
Nb 0.250 0.250 0.250
Re 0.500 0.500 0.500
Re 0.750 0.750 0.750
Y 0.000 0.000 0.000

=====

# NbZnRe2

An optimized crystal structure of NbZnRe2 (PBE-GGA, OQMD).

Output
Calculated formation energy: 0.182 eV/atom

Lattice parameters (Å, degrees): 4.436 4.436 4.436 60.00 60.00 60.00
Sites, in units of the cell vectors:
Nb 0.500 0.500 0.500
Re 0.000 0.000 0.000
Re 0.750 0.750 0.750
Zn 0.250 0.250 0.250

=====

# Nb2ZnRe

An optimized crystal structure of Nb2ZnRe (PBE-GGA, OQMD).

Output
Calculated formation energy: 0.151 eV/atom

Lattice parameters (Å, degrees): 4.511 4.511 4.511 60.00 60.00 60.00
Sites, in units of the cell vectors:
Nb 0.500 0.500 0.500
Nb 0.750 0.750 0.750
Re 0.250 0.250 0.250
Zn 0.000 0.000 0.000

=====

# ZrNbRe

An optimized crystal structure of ZrNbRe (PBE-GGA, OQMD).

Output
Calculated formation energy: 0.244 eV/atom

Lattice parameters (Å, degrees): 4.481 4.481 4.481 60.00 60.00 60.00
Sites, in units of the cell vectors:
Nb 0.250 0.250 0.250
Re 0.000 0.000 0.000
Zr 0.750 0.750 0.750

=====

# ZrNbRe2

An optimized crystal structure of ZrNbRe2 (PBE-GGA, OQMD).

Output
Calculated formation energy: -0.134 eV/atom

Lattice parameters (Å, degrees): 4.568 4.568 4.568 60.00 60.00 60.00
Sites, in units of the cell vectors:
Nb 0.750 0.750 0.750
Re 0.000 0.000 0.000
Re 0.250 0.250 0.250
Zr 0.500 0.500 0.500

=====

# NbS4

An optimized crystal structure of NbS4 (PBE-GGA, OQMD).

Lattice parameters (Å, degrees): 6.906 6.906 8.741 126.52 126.52 56.32
Last column: magnetic moment on the atom in μB.
Sites, in units of the cell vectors:
Nb 0.754 0.246 0.500  -0.02
Nb 0.246 0.754 0.500  -0.02
S 0.351 0.351 0.230  0.01
S 0.872 0.175 0.234  0.14
S 0.175 0.872 0.234  0.13
S 0.800 0.800 0.310  0.02
S 0.200 0.200 0.690  0.02
S 0.825 0.128 0.766  0.13
S 0.128 0.825 0.766  0.14
S 0.649 0.649 0.770  0.01

=====

Results for VASP energy: -11.247; -10.847; -10.117; -8.869; -8.318; -10.110; -11.005; -5.670 (in eV per atom, following the order of the records).
Results for total moment: 0.00; 0.01; 0.00; 0.00; 0.24; 0.00; 0.00; 0.50 (in μB/f.u., following the order of the records).